Compound: Ho2Be2Pt5
Source: Alexandria via LeMat-Bulk
Functional: PBE
Structure: relaxed

Values from the calculation:
For the formation energy, the calculation gives -0.996 eV/atom. The crystal system is tetragonal. Its density of states at the Fermi level is 2.8 states/eV per cell. The total moment is 0.00 μB/cell. As for the electronic total energy: -6.197 eV per atom.

Lattice parameters (Å, degrees): 4.074 4.074 8.818 90.00 90.00 90.00
Space group P4/mmm (No. 123)
Inequivalent atoms, fractional coordinates:
Ho (0.000, 0.000, 0.000) (multiplicity 1)
Ho (0.000, 0.000, 0.500) (multiplicity 1)
Be (0.500, 0.500, 0.137) (multiplicity 2)
Pt (0.000, 0.500, 0.255) (multiplicity 4)
Pt (0.500, 0.500, 0.500) (multiplicity 1)

***

Compound: TlSiAu
Source: Alexandria via LeMat-Bulk
Functional: PBE
Structure: relaxed

Values from the calculation:
The crystal system is triclinic. Its density of states at the Fermi level is 1.9 states/eV per cell. The total moment is 0.00 μB/cell. As for the electronic total energy: -3.661 eV per atom.

Lattice parameters (Å, degrees): 4.119 4.390 9.360 86.11 77.78 62.60
Space group P-1 (No. 2)
Inequivalent atoms, fractional coordinates:
Tl (0.240, 0.161, 0.360) (multiplicity 2)
Si (0.019, 0.846, 0.118) (multiplicity 2)
Au (0.322, 0.502, 0.858) (multiplicity 2)

***

Compound: HgIr3Au
Source: Alexandria via LeMat-Bulk
Functional: PBE
Structure: relaxed

Values from the calculation:
For the formation energy, the calculation gives 2.201 eV/atom. The crystal system is cubic. Its density of states at the Fermi level is 14.0 states/eV per cell. The total moment is 2.84 μB/cell. As for the electronic total energy: -3.831 eV per atom. As for the energy above the most stable polymorph in this dataset: 0 meV per atom.

Lattice parameters (Å, degrees): 4.901 4.901 4.901 90.00 90.00 90.00
Space group Pm-3m (No. 221)
Inequivalent atoms, fractional coordinates:
Hg (0.000, 0.000, 0.000) (multiplicity 1)
Ir (0.000, 0.500, 0.500) (multiplicity 3)
Au (0.500, 0.500, 0.500) (multiplicity 1)

***

Compound: RbIn3Pb
Source: Alexandria via LeMat-Bulk
Functional: PBE
Structure: relaxed

Values from the calculation:
For the formation energy, the calculation gives -0.028 eV/atom. The crystal system is orthorhombic. Its density of states at the Fermi level is 3.9 states/eV per cell. The total moment is 0.00 μB/cell. As for the electronic total energy: -2.606 eV per atom. As for the energy above the most stable polymorph in this dataset: 36 meV per atom.

Lattice parameters (Å, degrees): 6.931 6.978 6.988 90.00 90.00 90.00
Space group Pmn2_1 (No. 31)
Inequivalent atoms, fractional coordinates:
Rb (0.000, 0.244, 0.000) (multiplicity 2)
In (0.000, 0.604, 0.659) (multiplicity 2)
In (0.247, 0.261, 0.504) (multiplicity 4)
Pb (0.000, 0.899, 0.355) (multiplicity 2)

***

The highest total moment belongs to which entry?
HgIr3Au

***

Repeat the first record exactly.
Compound: Ho2Be2Pt5
Source: Alexandria via LeMat-Bulk
Functional: PBE
Structure: relaxed

Values from the calculation:
For the formation energy, the calculation gives -0.996 eV/atom. The crystal system is tetragonal. Its density of states at the Fermi level is 2.8 states/eV per cell. The total moment is 0.00 μB/cell. As for the electronic total energy: -6.197 eV per atom.

Lattice parameters (Å, degrees): 4.074 4.074 8.818 90.00 90.00 90.00
Space group P4/mmm (No. 123)
Inequivalent atoms, fractional coordinates:
Ho (0.000, 0.000, 0.000) (multiplicity 1)
Ho (0.000, 0.000, 0.500) (multiplicity 1)
Be (0.500, 0.500, 0.137) (multiplicity 2)
Pt (0.000, 0.500, 0.255) (multiplicity 4)
Pt (0.500, 0.500, 0.500) (multiplicity 1)